Mg2CrSiMo after structural relaxation, computed with GGA-PBE.

As for the mass density: 3.799 g/cm³. The uncorrected formation energy comes out at 1179 meV per atom. The density of states at the Fermi level comes out at 7.57 states/eV/cell. As for the energy: -4.634 eV per atom. The total moment comes out at 3.356 μB/f.u.

Unit cell a=4.7274 b=4.3931 c=4.7274 alpha=90.00 beta=90.00 gamma=90.00
With the nearest neighbours (Å) after each atom.
Positions (direct):
Mg1 0.5000 0.0000 0.0000  2 Si 2.36
Si1 0.0000 0.0000 0.0000  2 Cr 2.20, 4 Mg 2.36
Mo1 0.5000 0.5000 0.5000  8 Mg 3.23, 4 Cr 3.34
Cr1 0.0000 0.5000 0.0000  2 Si 2.20
Mg2 0.0000 0.0000 0.5000  2 Si 2.36